8
Lattice="4.753 -5.226 0.000 4.753 5.226 0.000 -4.752 0.000 4.758" Properties=species:S:1:pos:R:3 comment="Na2TmPbS4 GGA-PBE optimized geometry" total_magnetization_mub_per_fu=0.8 space_group="C2 (5)" final_energy_ev_per_cell=-35.72 pbc="T T T"
Na 0.000 0.000 0.000
Na 2.377 -2.617 2.379
Tm 2.377 2.611 2.379
Pb 4.753 -0.003 0.000
S 2.453 1.365 0.135
S -0.134 -1.365 2.454
S 2.301 1.365 4.623
S 4.888 -1.365 2.304